[1]
First-principles (PBE) data for a relaxed structure of Te2AsOs, as listed in Alexandria.

```
data_Te2AsOs
_symmetry_space_group_name_H-M 'P m m m'
_symmetry_Int_Tables_number 47
_cell_length_a 3.328
_cell_length_b 4.796
_cell_length_c 5.161
_cell_angle_alpha 90.00
_cell_angle_beta 90.00
_cell_angle_gamma 90.00
loop_
_symmetry_equiv_pos_as_xyz
'x,y,z'
'-x,-y,-z'
'-x,-y,z'
'x,y,-z'
'x,-y,-z'
'-x,y,z'
'-x,y,-z'
'x,-y,z'
loop_
_atom_site_label
_atom_site_type_symbol
_atom_site_fract_x
_atom_site_fract_y
_atom_site_fract_z
_atom_site_occupancy
Te1 Te 0.000 0.000 0.000 1
Te2 Te 0.500 0.000 0.500 1
As1 As 0.000 0.500 0.500 1
Os1 Os 0.500 0.500 0.000 1
```

Calculated values
Electronic total energy (eV per atom): -4.586
ΔE_f (raw) (eV/atom): 0.9545
Density of states at the Fermi level (states/eV per atom): 0.75

[2]
First-principles (PBE) data for a relaxed structure of TeAsOs2, as listed in Alexandria.

```
data_TeAsOs2
_symmetry_space_group_name_H-M 'I -4 2 d'
_symmetry_Int_Tables_number 122
_symmetry_space_group_name_Hall 'I -4 2bw'
_cell_length_a 5.646
_cell_length_b 5.646
_cell_length_c 11.537
_cell_angle_alpha 90.00
_cell_angle_beta 90.00
_cell_angle_gamma 90.00
loop_
_atom_site_label
_atom_site_type_symbol
_atom_site_fract_x
_atom_site_fract_y
_atom_site_fract_z
_atom_site_occupancy
Te1 Te 0.000 0.000 0.000 1
As1 As 0.000 0.000 0.500 1
Os1 Os 0.223 0.250 0.625 1
```

Calculated values
Electronic total energy (eV per atom): -6.909
ΔE_f (raw) (eV/atom): 0.6539
Offset from the most stable computed form (eV/f.u.): 1.19
Density of states at the Fermi level (states/eV per atom): 0.33

- The lowest density of states at the Fermi level belongs to which entry?
  TeAsOs2